First-principles (PBE) data for a relaxed structure of LiTiMo2, as listed in Alexandria via LeMat-Bulk.

Crystal system: cubic
Energy of formation from the pure elements (kJ/mol of formula units): 179
Relative energy among the computed polymorphs (meV per atom): 0.0
DOS at the Fermi energy (states/eV/cell): 5.698
Magnetization (μB/cell): 0.00
DFT total energy (eV/atom): -7.404

Cell lengths 4.394, 4.394, 4.394 Å; angles 60.00, 60.00, 60.00 degrees
Positions (direct):
Li 0.000 0.000 0.000
Ti 0.500 0.500 0.500
Mo 0.250 0.250 0.250
Mo 0.750 0.750 0.750

***

First-principles (PBE) data for a relaxed structure of MgFeW2, as listed in Alexandria via LeMat-Bulk.

Crystal system: orthorhombic
Energy of formation from the pure elements (kJ/mol of formula units): 169
DOS at the Fermi energy (states/eV/cell): 2.879
Magnetization (μB/cell): 2.07
DFT total energy (eV/atom): -8.552

Cell lengths 2.649, 4.196, 5.607 Å; angles 90.00, 90.00, 90.00 degrees
Positions (direct):
Mg 0.000 0.000 0.000
Fe 0.500 0.500 0.773
W 0.000 0.000 0.512
W 0.500 0.500 0.269

***

First-principles (PBE) data for a relaxed structure of Cs2UTeI5, as listed in Alexandria via LeMat-Bulk.

Crystal system: tetragonal
Formation energy from raw total energies (eV per atom): -1.0843
DOS at the Fermi energy (states/eV/cell): 0.747
Magnetization (μB/cell): 1.00
DFT total energy (eV/atom): -3.738

Cell lengths 8.573, 8.573, 8.573 Å; angles 120.53, 120.53, 89.08 degrees
Positions (direct):
Cs 0.000 0.500 0.500
Cs 0.500 0.000 0.500
U 0.258 0.258 0.000
Te 0.489 0.489 0.000
I 0.002 0.002 0.503
I 0.002 0.499 0.000
I 0.011 0.011 0.000
I 0.499 0.002 0.000
I 0.499 0.499 0.497

***

First-principles (PBE) data for a relaxed structure of Ho6InSe5, as listed in Alexandria via LeMat-Bulk.

Crystal system: monoclinic
Formation energy from raw total energies (eV per atom): -1.4979
DOS at the Fermi energy (states/eV/cell): 5.866
Magnetization (μB/cell): 0.00
DFT total energy (eV/atom): -5.467

Cell lengths 7.127, 7.127, 7.123 Å; angles 99.52, 99.52, 119.78 degrees
Positions (direct):
Ho 0.079 0.417 0.748
Ho 0.246 0.246 0.251
Ho 0.417 0.079 0.748
Ho 0.583 0.921 0.252
Ho 0.754 0.754 0.749
Ho 0.921 0.583 0.252
In 0.500 0.500 0.000
Se 0.000 0.000 0.500
Se 0.167 0.833 0.000
Se 0.334 0.666 0.500
Se 0.666 0.334 0.500
Se 0.833 0.167 0.000

***

First-principles (PBE) data for a relaxed structure of ScTl2Cd2, as listed in Alexandria via LeMat-Bulk.

Crystal system: tetragonal
Energy of formation from the pure elements (kJ/mol of formula units): 46
Relative energy among the computed polymorphs (meV per atom): 16.6
DOS at the Fermi energy (states/eV/cell): 6.585
Magnetization (μB/cell): 0.75
DFT total energy (eV/atom): -2.483

Cell lengths 8.286, 8.286, 3.743 Å; angles 90.00, 90.00, 90.00 degrees
Positions (direct):
Sc 0.000 0.000 0.000
Sc 0.500 0.500 0.000
Tl 0.144 0.356 0.000
Tl 0.356 0.856 0.000
Tl 0.644 0.144 0.000
Tl 0.856 0.644 0.000
Cd 0.158 0.658 0.500
Cd 0.342 0.158 0.500
Cd 0.658 0.842 0.500
Cd 0.842 0.342 0.500

***

First-principles (PBE) data for a relaxed structure of Na3ZnHg4, as listed in Alexandria via LeMat-Bulk.

Crystal system: tetragonal
Energy of formation from the pure elements (kJ/mol of formula units): -126
DOS at the Fermi energy (states/eV/cell): 3.696
Magnetization (μB/cell): 0.00
DFT total energy (eV/atom): -0.968

Cell lengths 3.692, 3.692, 14.387 Å; angles 90.00, 90.00, 90.00 degrees
Positions (direct):
Na 0.000 0.000 0.000
Na 0.000 0.000 0.264
Na 0.000 0.000 0.736
Zn 0.000 0.000 0.500
Hg 0.500 0.500 0.128
Hg 0.500 0.500 0.391
Hg 0.500 0.500 0.609
Hg 0.500 0.500 0.872